Record 1
The following is a DFT calculation (PBE) of a relaxed structure of Sr3Zn4Ag4.

Calculated values
DFT formation energy, meV/atom: -240.5

a = 4.3925 Å, b = 4.5856 Å, c = 13.9849 Å
α = 80.38°, β = 81.05°, γ = 89.99°
Closest atoms and distances in Å follow each position.
Fractional positions:
1 Sr 0.0000 0.0000 0.0000  8 Ag 3.46-3.48, 4 Zn 3.48-3.49
2 Sr 0.1500 0.6501 0.7007  6 Ag 3.41-3.46, 8 Zn 3.45-3.60
3 Sr 0.8500 0.3499 0.2993  6 Ag 3.41-3.46, 8 Zn 3.45-3.60
4 Zn 0.2488 0.2508 0.4980  4 Ag 2.66-2.72
5 Zn 0.3998 0.8999 0.1984  3 Ag 2.63-2.64
6 Zn 0.7512 0.7492 0.5020  4 Ag 2.66-2.72
7 Zn 0.6002 0.1001 0.8016  3 Ag 2.63-2.64
8 Ag 0.6940 0.1963 0.6082  5 Zn 2.63-2.72
9 Ag 0.3060 0.8037 0.3918  5 Zn 2.63-2.72
10 Ag 0.5536 0.5521 0.8967  2 Zn 2.63-2.64, 1 Ag 2.81
11 Ag 0.4464 0.4479 0.1033  2 Zn 2.63-2.64, 1 Ag 2.81

=====

Record 2
The following is a DFT calculation (PBE) of a relaxed structure of SrZnAg2.

Calculated values
DFT formation energy, meV/atom: -207.1

a = 5.7305 Å, b = 5.7321 Å, c = 6.8884 Å
α = 87.21°, β = 108.82°, γ = 118.63°
Closest atoms and distances in Å follow each position.
Fractional positions:
1 Sr 0.2387 0.5649 0.7923  5 Zn 3.22-3.57, 7 Ag 3.25-3.48
2 Sr 0.9647 0.1133 0.2735  8 Ag 3.23-3.56, 3 Zn 3.25-3.55
3 Zn 0.5484 0.1847 0.7064  1 Zn 2.69, 4 Ag 2.73-2.89
4 Zn 0.3570 0.1028 0.0267  4 Ag 2.69-2.81, 1 Zn 2.69
5 Ag 0.8568 0.9045 0.7176  2 Zn 2.69-2.89, 3 Ag 2.87-2.94
6 Ag 0.6413 0.4751 0.3847  2 Zn 2.74-2.81, 3 Ag 2.88-3.03
7 Ag 0.3750 0.8258 0.3670  2 Zn 2.77, 3 Ag 2.83-3.03
8 Ag 0.8462 0.5687 0.0422  2 Zn 2.73-2.77, 3 Ag 2.83-2.88

=====

Record 3
The following is a DFT calculation (PBE) of a relaxed structure of SrZn3Ag10.

Calculated values
DFT formation energy, meV/atom: 34.6

a = 9.2894 Å, b = 9.2894 Å, c = 9.2894 Å
α = 60.00°, β = 60.00°, γ = 60.00°
Closest atoms and distances in Å follow each position.
Fractional positions:
1 Sr 0.7500 0.7500 0.7500  4 Ag 3.11
2 Sr 0.2500 0.2500 0.2500  4 Ag 3.11
3 Ag 0.0000 0.3475 0.6525  2 Zn 2.58, 1 Ag 2.83
4 Ag 0.6525 0.0000 0.0000  2 Zn 2.58, 1 Ag 2.83
5 Ag 0.3475 0.0000 0.6525  2 Zn 2.58, 1 Ag 2.83
6 Ag 0.0000 0.6525 0.0000  2 Zn 2.58, 1 Ag 2.83
7 Ag 0.0000 0.0000 0.6525  2 Zn 2.58, 1 Ag 2.83
8 Ag 0.1601 0.6133 0.6133  3 Zn 2.64
9 Ag 0.8399 0.3867 0.3867  3 Zn 2.64
10 Ag 0.6133 0.6133 0.6133  3 Zn 2.64
11 Ag 0.6525 0.3475 0.0000  2 Zn 2.58, 1 Ag 2.83
12 Ag 0.3867 0.3867 0.3867  3 Zn 2.64
13 Ag 0.6133 0.1601 0.6133  3 Zn 2.64
14 Ag 0.3867 0.8399 0.3867  3 Zn 2.64
15 Ag 0.0000 0.0000 0.3475  2 Zn 2.58, 1 Ag 2.83
16 Ag 0.0000 0.6525 0.3475  2 Zn 2.58, 1 Ag 2.83
17 Ag 0.3475 0.0000 0.0000  2 Zn 2.58, 1 Ag 2.83
18 Ag 0.3475 0.6525 0.0000  2 Zn 2.58, 1 Ag 2.83
19 Ag 0.3867 0.3867 0.8399  3 Zn 2.64
20 Ag 0.0000 0.3475 0.0000  2 Zn 2.58, 1 Ag 2.83
21 Ag 0.6133 0.6133 0.1601  3 Zn 2.64
22 Ag 0.6525 0.0000 0.3475  2 Zn 2.58, 1 Ag 2.83
23 Zn 0.7340 0.2660 0.7340  8 Ag 2.58-2.64
24 Zn 0.2660 0.2660 0.7340  8 Ag 2.58-2.64
25 Zn 0.7340 0.2660 0.2660  8 Ag 2.58-2.64
26 Zn 0.2660 0.7340 0.7340  8 Ag 2.58-2.64
27 Zn 0.7340 0.7340 0.2660  8 Ag 2.58-2.64
28 Zn 0.2660 0.7340 0.2660  8 Ag 2.58-2.64

=====

Record 4
The following is a DFT calculation (PBE) of a relaxed structure of Sr6Zn2Ag.

Calculated values
DFT formation energy, meV/atom: -122.5

a = 9.6752 Å, b = 9.6752 Å, c = 9.6752 Å
α = 107.27°, β = 109.91°, γ = 111.26°
Closest atoms and distances in Å follow each position.
Fractional positions:
1 Sr 0.8105 0.2537 0.0642  1 Zn 3.34, 2 Ag 3.52-3.59
2 Sr 0.1895 0.7463 0.9358  1 Zn 3.34, 2 Ag 3.52-3.59
3 Sr 0.3107 0.6407 0.3300  3 Zn 3.26-3.37
4 Sr 0.6893 0.3593 0.6700  3 Zn 3.26-3.37
5 Sr 0.0893 0.2642 0.8251  3 Zn 3.40-3.47, 1 Ag 3.48
6 Sr 0.6893 0.0192 0.3300  3 Zn 3.26-3.37
7 Sr 0.1895 0.2537 0.4432  1 Zn 3.34, 2 Ag 3.52-3.59
8 Sr 0.4391 0.2642 0.1749  3 Zn 3.40-3.47, 1 Ag 3.48
9 Sr 0.8105 0.7463 0.5568  1 Zn 3.34, 2 Ag 3.52-3.59
10 Sr 0.3107 0.9808 0.6700  3 Zn 3.26-3.37
11 Sr 0.9107 0.7358 0.1749  3 Zn 3.40-3.47, 1 Ag 3.48
12 Sr 0.5609 0.7358 0.8251  3 Zn 3.40-3.47, 1 Ag 3.48
13 Zn 0.5000 0.3895 0.8895  1 Zn 2.54
14 Zn 0.5000 0.6105 0.1105  1 Zn 2.54
15 Zn 0.3373 0.0000 0.3373  8 Sr 3.34-3.40, 1 Zn 3.62
16 Zn 0.6627 0.0000 0.6627  8 Sr 3.34-3.40, 1 Zn 3.62
17 Ag 0.0000 0.0000 0.0000  8 Sr 3.48-3.59, 2 Zn 3.75
18 Ag 0.0000 0.5000 0.5000  8 Sr 3.52-3.92

=====

Record 5
The following is a DFT calculation (PBE) of a relaxed structure of Sr3Zn4Ag2.

Calculated values
Offset from the most stable computed form, eV/atom: 0.0000
DFT formation energy, meV/atom: -265.4

a = 4.6264 Å, b = 6.2990 Å, c = 9.0377 Å
α = 103.93°, β = 90.00°, γ = 111.54°
Closest atoms and distances in Å follow each position.
Fractional positions:
1 Zn 0.2746 0.5492 0.9482  2 Zn 2.61, 1 Ag 2.70
2 Zn 0.7254 0.4508 0.0518  2 Zn 2.61, 1 Ag 2.70
3 Zn 0.9484 0.8968 0.6109  1 Zn 2.60, 2 Ag 2.69
4 Zn 0.0516 0.1032 0.3891  1 Zn 2.60, 2 Ag 2.69
5 Ag 0.3895 0.7789 0.7247  3 Zn 2.69-2.70
6 Ag 0.6105 0.2211 0.2753  3 Zn 2.69-2.70
7 Sr 0.0000 0.0000 0.0000  8 Zn 3.37-3.45, 4 Ag 3.40
8 Sr 0.6686 0.3373 0.6658  8 Zn 3.38-3.44, 4 Ag 3.41-3.45
9 Sr 0.3314 0.6627 0.3342  8 Zn 3.38-3.44, 4 Ag 3.41-3.45

=====

Record 6
The following is a DFT calculation (PBE) of a relaxed structure of Sr2Zn15Ag2.

Calculated values
DFT formation energy, meV/atom: -171.5

a = 6.9915 Å, b = 6.9915 Å, c = 6.9915 Å
α = 82.92°, β = 82.92°, γ = 82.92°
Closest atoms and distances in Å follow each position.
Fractional positions:
1 Ag 0.8949 0.8949 0.8949  12 Zn 2.80-3.03, 1 Ag 2.84
2 Ag 0.1051 0.1051 0.1051  12 Zn 2.80-3.03, 1 Ag 2.84
3 Zn 0.1576 0.6532 0.6532  8 Zn 2.67-2.86, 1 Ag 2.87
4 Zn 0.6532 0.6532 0.1576  8 Zn 2.67-2.86, 1 Ag 2.87
5 Zn 0.2895 0.7105 0.0000  8 Zn 2.65-2.86
6 Zn 0.6532 0.1576 0.6532  8 Zn 2.67-2.86, 1 Ag 2.87
7 Zn 0.3468 0.3468 0.8424  8 Zn 2.67-2.86, 1 Ag 2.87
8 Zn 0.7105 0.2895 0.0000  8 Zn 2.65-2.86
9 Zn 0.8424 0.3468 0.3468  8 Zn 2.67-2.86, 1 Ag 2.87
10 Zn 0.0000 0.0000 0.5000  8 Zn 2.65-2.69, 2 Ag 2.80
11 Zn 0.7105 0.0000 0.2895  8 Zn 2.65-2.86
12 Zn 0.2895 0.0000 0.7105  8 Zn 2.65-2.86
13 Zn 0.0000 0.5000 0.0000  8 Zn 2.65-2.69, 2 Ag 2.80
14 Zn 0.0000 0.7105 0.2895  8 Zn 2.65-2.86
15 Zn 0.5000 0.0000 0.0000  8 Zn 2.65-2.69, 2 Ag 2.80
16 Zn 0.3468 0.8424 0.3468  8 Zn 2.67-2.86, 1 Ag 2.87
17 Zn 0.0000 0.2895 0.7105  8 Zn 2.65-2.86
18 Sr 0.6575 0.6575 0.6575  1 Ag 3.21, 18 Zn 3.30-3.58
19 Sr 0.3425 0.3425 0.3425  1 Ag 3.21, 18 Zn 3.30-3.58

=====

Record 7
The following is a DFT calculation (PBE) of a relaxed structure of SrZnAg4.

Calculated values
Offset from the most stable computed form, eV/atom: 0.0000
DFT formation energy, meV/atom: -125.3

a = 4.1926 Å, b = 7.4755 Å, c = 8.2466 Å
α = 90.00°, β = 90.00°, γ = 90.00°
Closest atoms and distances in Å follow each position.
Fractional positions:
1 Zn 0.0000 0.7908 0.2500  8 Ag 2.59-2.81
2 Zn 0.0000 0.2092 0.7500  8 Ag 2.59-2.81
3 Ag 0.5000 0.6960 0.4429  2 Zn 2.73, 1 Ag 3.03
4 Ag 0.0000 0.0000 0.5000  2 Zn 2.59
5 Ag 0.5000 0.0408 0.2500  2 Zn 2.81, 6 Ag 2.96-3.03
6 Ag 0.5000 0.6960 0.0571  2 Zn 2.73, 1 Ag 3.03
7 Ag 0.5000 0.3040 0.9429  2 Zn 2.73, 1 Ag 3.03
8 Ag 0.5000 0.3040 0.5571  2 Zn 2.73, 1 Ag 3.03
9 Ag 0.0000 0.0000 0.0000  2 Zn 2.59
10 Ag 0.5000 0.9592 0.7500  2 Zn 2.81, 6 Ag 2.96-3.03
11 Sr 0.0000 0.6198 0.7500  1 Zn 3.07, 6 Ag 3.29-3.34
12 Sr 0.0000 0.3802 0.2500  1 Zn 3.07, 6 Ag 3.29-3.34

=====

Record 8
The following is a DFT calculation (PBE) of a relaxed structure of Sr2ZrAg.

Calculated values
Offset from the most stable computed form, eV/atom: 0.2060
DFT formation energy, meV/atom: 376.0

a = 5.9570 Å, b = 5.9570 Å, c = 3.6377 Å
α = 90.00°, β = 90.00°, γ = 101.60°
Closest atoms and distances in Å follow each position.
Fractional positions:
1 Sr 0.0000 0.0000 0.0000  4 Ag 3.49, 4 Zr 3.49, 4 Sr 3.64-3.76
2 Sr 0.5000 0.5000 0.0000  4 Zr 3.49, 4 Ag 3.49, 4 Sr 3.64-3.76
3 Zr 0.5000 0.0000 0.5000  8 Sr 3.49, 2 Zr 3.64, 2 Ag 3.76
4 Ag 0.0000 0.5000 0.5000  8 Sr 3.49, 2 Ag 3.64, 2 Zr 3.76

=====

Record 9
The following is a DFT calculation (PBE) of a relaxed structure of Sr2ZrAg.

Calculated values
Offset from the most stable computed form, eV/atom: 0.0674
DFT formation energy, meV/atom: 237.4

a = 3.5769 Å, b = 3.5769 Å, c = 9.8355 Å
α = 90.00°, β = 90.00°, γ = 90.00°
Closest atoms and distances in Å follow each position.
Fractional positions:
1 Sr 0.0000 0.0000 0.5214  4 Ag 3.38, 4 Sr 3.58, 4 Zr 3.68
2 Sr 0.0000 0.0000 0.9786  4 Ag 3.38, 4 Sr 3.58, 4 Zr 3.68
3 Ag 0.5000 0.5000 0.7500  8 Sr 3.38, 4 Ag 3.58
4 Zr 0.5000 0.5000 0.2500  4 Zr 3.58, 8 Sr 3.68

=====

Record 10
The following is a DFT calculation (PBE) of a relaxed structure of SrZr2Ag.

Calculated values
Offset from the most stable computed form, eV/atom: 0.3101
DFT formation energy, meV/atom: 376.6

a = 3.1910 Å, b = 3.1910 Å, c = 10.1033 Å
α = 90.00°, β = 90.00°, γ = 90.11°
Closest atoms and distances in Å follow each position.
Fractional positions:
1 Zr 0.0000 0.0000 0.0502  4 Ag 3.03, 4 Zr 3.19
2 Zr 0.0000 0.0000 0.4498  4 Ag 3.03, 4 Zr 3.19
3 Ag 0.5000 0.5000 0.2500  8 Zr 3.03, 4 Ag 3.19
4 Sr 0.5000 0.5000 0.7500  4 Sr 3.19

=====

Record 11
The following is a DFT calculation (PBE) of a relaxed structure of SrZr2Ag.

Calculated values
Offset from the most stable computed form, eV/atom: 0.3474
DFT formation energy, meV/atom: 413.8

a = 4.3478 Å, b = 4.3478 Å, c = 5.4712 Å
α = 90.00°, β = 90.00°, γ = 90.00°
Closest atoms and distances in Å follow each position.
Fractional positions:
1 Ag 0.5000 0.0000 0.5000  4 Sr 3.07
2 Sr 0.0000 0.5000 0.5000  4 Ag 3.07
3 Zr 0.0000 0.0000 0.0000  4 Zr 3.07
4 Zr 0.5000 0.5000 0.0000  4 Zr 3.07

=====

Record 12
The following is a DFT calculation (PBE) of a relaxed structure of SrZr2Ag.

Calculated values
Offset from the most stable computed form, eV/atom: 0.2626
DFT formation energy, meV/atom: 329.1

a = 3.3158 Å, b = 5.2305 Å, c = 5.8798 Å
α = 90.00°, β = 90.00°, γ = 90.00°
Closest atoms and distances in Å follow each position.
Fractional positions:
1 Zr 0.0000 0.0000 0.0000  6 Zr 3.10-3.32, 4 Ag 3.38
2 Zr 0.5000 0.5000 0.0000  6 Zr 3.10-3.32, 4 Sr 3.38
3 Ag 0.5000 0.0000 0.5000  4 Sr 3.10, 2 Ag 3.32, 4 Zr 3.38
4 Sr 0.0000 0.5000 0.5000  4 Ag 3.10, 2 Sr 3.32, 4 Zr 3.38